VASP calculation (PBE) on SrWAu2 after structural relaxation.

Unit cell a=5.178 b=5.178 c=3.076 alpha=90.00 beta=90.00 gamma=90.25
Atoms (fractional coordinates):
Sr 0.000 0.000 0.000
W 0.500 0.500 0.000
Au 0.000 0.500 0.500
Au 0.500 0.000 0.500

Values from the calculation:
- Distance to the lowest polymorph of the same formula: 63 meV/atom
- ΔH_f (0 K): 1.303 eV per formula unit